Compound: YTa2Mn
Source: the Alexandria database
Functional: PBE-GGA
Structure: optimized geometry

SG: P4/mmm (123)
raw total energy: -9.631 eV/atom

abc: 3.100 3.100 7.793
angles: 90.00 90.00 90.00
Element x y z (fractional)
Mn1 0.500 0.500 0.750
Ta1 0.000 0.000 0.940
Ta2 0.000 0.000 0.560
Y1 0.500 0.500 0.250


Compound: LaZn4Ag
Source: the Alexandria database
Functional: PBE-GGA
Structure: optimized geometry

SG: Cmcm (63)
raw total energy: -2.340 eV/atom

abc: 4.488 6.607 8.323
angles: 90.00 105.64 90.00
Element x y z (fractional)
La1 0.126 0.250 0.253
La2 0.874 0.750 0.747
Zn1 0.500 0.500 0.000
Zn2 0.500 0.000 0.000
Zn3 0.663 0.940 0.327
Zn4 0.337 0.060 0.673
Zn5 0.337 0.440 0.673
Zn6 0.663 0.560 0.327
Zn7 0.065 0.750 0.130
Zn8 0.935 0.250 0.870
Ag1 0.227 0.750 0.455
Ag2 0.773 0.250 0.545


Compound: B3PtAu
Source: the Alexandria database
Functional: PBE-GGA
Structure: optimized geometry

SG: Pm-3m (221)
raw total energy: -4.106 eV/atom

abc: 4.144 4.144 4.144
angles: 90.00 90.00 90.00
Element x y z (fractional)
B1 0.000 0.500 0.000
B2 0.000 0.000 0.500
B3 0.500 0.000 0.000
Au1 0.000 0.000 0.000
Pt1 0.500 0.500 0.500


Compound: In2MoIr
Source: the Alexandria database
Functional: PBE-GGA
Structure: optimized geometry

SG: P4/mmm (123)
raw total energy: -6.018 eV/atom

abc: 4.763 4.763 3.126
angles: 90.00 90.00 90.00
Element x y z (fractional)
In1 0.000 0.000 0.000
In2 0.500 0.500 0.000
Ir1 0.500 0.000 0.500
Mo1 0.000 0.500 0.500


Compound: Ba2ScBr
Source: the Alexandria database
Functional: PBE-GGA
Structure: optimized geometry

SG: Immm (71)
formation energy from raw total energies: -0.2096 eV/atom
raw total energy: -3.172 eV/atom

abc: 7.258 7.258 7.258
angles: 145.59 118.67 72.25
Each line ends with the local moment (μB).
Element x y z (fractional)
Ba1 0.962 0.962 0.000  0.09
Ba2 0.538 0.538 0.000  0.09
Br1 0.750 0.250 0.500  0.01
Sc1 0.250 0.750 0.500  0.85


Compound: IrSe2NF
Source: the Alexandria database
Functional: PBE-GGA
Structure: optimized geometry

SG: P4/mmm (123)
formation energy from raw total energies: 1.5982 eV/atom
raw total energy: -3.607 eV/atom

abc: 4.563 4.563 3.665
angles: 90.00 90.00 90.00
Each line ends with the local moment (μB).
Element x y z (fractional)
N1 0.000 0.000 0.500  1.10
Ir1 0.500 0.500 0.500  0.26
Se1 0.000 0.500 0.000  0.05
Se2 0.500 0.000 0.000  0.05
F1 0.000 0.000 0.000  -0.02